(1)
Cs3KCd3 (GGA-PBE, optimized geometry); ΔE_f = -47 meV per atom; density of states at the Fermi level = 7.54 states/eV/cell
1.0
14.107 0.000 0.000
-7.053 12.217 0.000
0.000 0.000 5.161
Cs K Cd
6 2 6
Cartesian
-4.407 8.334 1.290
2.039 4.233 1.290
4.686 0.351 3.871
2.368 11.866 1.290
5.014 7.983 3.871
11.460 3.883 3.871
0.000 8.144 3.871
7.053 4.072 1.290
-6.016 10.714 3.871
0.783 1.650 3.871
1.820 0.147 1.290
5.233 12.070 3.871
6.270 10.567 1.290
13.069 1.503 1.290



(2)
ScAl2W (GGA-PBE, optimized geometry); ΔE_f = -63 meV per atom; density of states at the Fermi level = 14.44 states/eV/cell; offset from the most stable computed form = 140 meV per atom
1.0
6.437 0.000 0.000
0.000 6.437 0.000
0.000 0.000 6.437
Sc Al W
4 8 4
Cartesian
0.000 0.000 0.000
0.000 3.219 3.219
3.219 0.000 3.219
3.219 3.219 0.000
1.609 1.609 1.609
1.609 1.609 4.828
1.609 4.828 1.609
1.609 4.828 4.828
4.828 1.609 1.609
4.828 1.609 4.828
4.828 4.828 1.609
4.828 4.828 4.828
0.000 0.000 3.219
0.000 3.219 0.000
3.219 0.000 0.000
3.219 3.219 3.219



(3)
PuMnPb2 (GGA-PBE, optimized geometry); ΔE_f = 231 meV per atom; density of states at the Fermi level = 43.64 states/eV/cell
1.0
4.781 0.000 0.000
-2.391 4.141 0.000
0.000 0.000 15.831
Pu Mn Pb
3 3 6
Cartesian
0.000 0.000 0.000
0.000 2.761 10.554
2.391 1.380 5.277
0.000 0.000 7.916
0.000 2.761 2.639
2.391 1.380 13.193
0.000 0.000 3.699
0.000 0.000 12.133
0.000 2.761 6.855
0.000 2.761 14.253
2.391 1.380 1.578
2.391 1.380 8.976



(4)
Dy2PuTl (GGA-PBE, optimized geometry); ΔE_f = -26 meV per atom; density of states at the Fermi level = 30.29 states/eV/cell; offset from the most stable computed form = 48 meV per atom
1.0
3.547 0.000 0.000
-1.774 3.072 0.000
0.000 0.000 32.274
Dy Pu Tl
6 3 3
Cartesian
0.000 0.000 0.000
0.000 0.000 5.562
0.000 2.048 21.516
0.000 2.048 27.078
1.774 1.024 10.758
1.774 1.024 16.320
0.000 0.000 24.312
0.000 2.048 13.554
1.774 1.024 2.796
0.000 0.000 18.914
0.000 2.048 8.156
1.774 1.024 29.672



(5)
Th6SbRu2 (GGA-PBE, optimized geometry); density of states at the Fermi level = 21.44 states/eV/cell; ΔE_f (raw) = -266 meV per atom
1.0
7.796 -5.337 0.000
7.796 5.337 0.000
-2.618 0.000 6.342
Th Sb Ru
12 2 4
Cartesian
1.201 2.024 4.659
4.273 4.044 5.326
7.392 4.044 4.188
4.763 0.538 3.394
2.510 -2.024 1.488
6.072 -0.538 0.223
6.901 0.538 6.119
10.463 2.024 4.854
8.210 -0.538 2.948
5.582 -4.044 2.154
8.701 -4.044 1.017
11.773 -2.024 1.683
7.141 2.165 1.586
5.832 -2.165 4.757
3.449 0.485 0.586
2.140 -0.485 3.757
10.833 0.485 2.585
9.524 -0.485 5.756



(6)
Ir3AuI (GGA-PBE, optimized geometry); density of states at the Fermi level = 5.92 states/eV/cell; ΔE_f (raw) = 2052 meV per atom; offset from the most stable computed form = 0 meV per atom
1.0
4.835 0.000 0.000
0.000 4.835 0.000
0.000 0.000 4.835
Ir Au I
3 1 1
Cartesian
0.000 0.000 2.417
0.000 2.417 0.000
2.417 0.000 0.000
2.417 2.417 2.417
0.000 0.000 0.000



(7)
LaInSb2 (GGA-PBE, optimized geometry); density of states at the Fermi level = 1.90 states/eV/cell; ΔE_f (raw) = -630 meV per atom
1.0
5.003 0.000 0.000
0.000 5.003 0.000
0.000 0.000 4.493
La In Sb
1 1 2
Cartesian
0.000 0.000 0.000
2.502 2.502 0.000
0.000 2.502 2.246
2.502 0.000 2.246



(8)
NdGdZnIr (GGA-PBE, optimized geometry); ΔE_f = -524 meV per atom; density of states at the Fermi level = 9.09 states/eV/cell
1.0
7.129 0.000 0.000
0.000 7.129 0.000
0.000 0.000 7.129
Nd Gd Zn Ir
4 4 4 4
Cartesian
0.000 0.000 0.000
0.000 3.564 3.564
3.564 0.000 3.564
3.564 3.564 0.000
0.000 0.000 3.564
0.000 3.564 0.000
3.564 0.000 0.000
3.564 3.564 3.564
1.782 1.782 5.346
1.782 5.346 1.782
5.346 1.782 1.782
5.346 5.346 5.346
1.782 1.782 1.782
1.782 5.346 5.346
5.346 1.782 5.346
5.346 5.346 1.782



(9)
SrAg2PbI6 (GGA-PBE, optimized geometry); density of states at the Fermi level = 0.00 states/eV/cell; ΔE_f (raw) = -758 meV per atom
1.0
8.112 0.000 0.000
-4.056 7.026 0.000
-0.001 -4.681 7.651
Sr Ag Pb I
1 2 1 6
Cartesian
0.000 0.000 0.000
-0.001 0.003 5.697
4.058 2.344 1.948
4.055 -2.340 3.826
-1.279 2.344 1.950
1.402 -2.393 5.722
2.674 -0.064 1.943
1.366 2.418 5.730
2.658 4.741 1.939
5.335 -0.027 5.736



(10)
AcNpIr2 (GGA-PBE, optimized geometry); ΔE_f = -193 meV per atom; density of states at the Fermi level = 31.52 states/eV/cell; offset from the most stable computed form = 278 meV per atom
1.0
7.127 0.000 0.000
0.000 7.127 0.000
0.000 0.000 7.127
Ac Np Ir
4 4 8
Cartesian
0.000 0.000 0.000
0.000 3.564 3.564
3.564 0.000 3.564
3.564 3.564 0.000
0.000 0.000 3.564
0.000 3.564 0.000
3.564 0.000 0.000
3.564 3.564 3.564
1.782 1.782 1.782
1.782 1.782 5.346
1.782 5.346 1.782
1.782 5.346 5.346
5.346 1.782 1.782
5.346 1.782 5.346
5.346 5.346 1.782
5.346 5.346 5.346



(11)
CdB2SeN (GGA-PBE, optimized geometry); density of states at the Fermi level = 3.58 states/eV/cell; ΔE_f (raw) = 2331 meV per atom
1.0
3.900 0.000 0.000
0.000 3.900 0.000
0.000 0.000 5.882
Cd B Se N
1 2 1 1
Cartesian
0.000 0.000 0.000
0.000 1.950 2.941
1.950 0.000 2.941
0.000 0.000 2.941
1.950 1.950 0.000



(12)
BeHgBr (GGA-PBE, optimized geometry); density of states at the Fermi level = 2.81 states/eV/cell; ΔE_f (raw) = 481 meV per atom; offset from the most stable computed form = 490 meV per atom
1.0
6.584 0.000 0.000
0.000 6.584 0.000
0.000 0.000 6.584
Be Hg Br
4 4 4
Cartesian
0.000 0.000 0.000
0.000 3.292 3.292
3.292 0.000 3.292
3.292 3.292 0.000
1.646 1.646 4.938
1.646 4.938 1.646
4.938 1.646 1.646
4.938 4.938 4.938
1.646 1.646 1.646
1.646 4.938 4.938
4.938 1.646 4.938
4.938 4.938 1.646